DFT (GGA-PBE) results for an optimized crystal structure of La8Tb6Ho.

Structure (POSCAR):
```
La8Tb6Ho
1.0
9.474 0.000 0.000
-4.737 8.205 0.000
0.000 0.000 6.709
La Tb Ho
8 6 1
Direct
0.041 0.750 0.167 La
0.250 0.292 0.167 La
0.292 0.041 0.833 La
0.333 0.667 0.119 La
0.667 0.333 0.881 La
0.708 0.959 0.167 La
0.750 0.708 0.833 La
0.959 0.250 0.833 La
0.096 0.661 0.651 Tb
0.339 0.435 0.651 Tb
0.435 0.096 0.349 Tb
0.565 0.904 0.651 Tb
0.661 0.565 0.349 Tb
0.904 0.339 0.349 Tb
0.000 0.000 0.500 Ho
```

Summary:
Calculated volume in A^3/atom: 34.77
M_tot in μB/atom: 0.000
Crystal system: trigonal
E in eV per atom: -4.625
Calculated formation energy in meV/atom: 160